# NiP2PbO (GGA+U, optimized geometry)
data_NiP2PbO
_chemical_formula_sum 'Ni1 P2 Pb1 O1'
_cell_length_a 4.889
_cell_length_b 4.889
_cell_length_c 3.705
_cell_angle_alpha 90.00
_cell_angle_beta 90.00
_cell_angle_gamma 90.00
_space_group_name_H-M_alt 'P 4/m m m'
_space_group_IT_number 123
_space_group_name_Hall '-P 4 2'
loop_
_atom_site_label
_atom_site_type_symbol
_atom_site_fract_x
_atom_site_fract_y
_atom_site_fract_z
_atom_site_occupancy
Ni1 Ni 0.000 0.000 0.000 1
P1 P 0.000 0.500 0.000 1
Pb1 Pb 0.500 0.500 0.500 1
O1 O 0.000 0.000 0.500 1
# Uncorrected energy: -4.02 eV/atom